No. 1
Computed, not measured: ScTl2Cr at its PBEsol-relaxed geometry at the SCAN level of DFT.

Computed properties:
energy: -44.438 eV/atom
DOS at the Fermi energy: 0.541 states/eV per atom
ΔE_f: -104 meV per atom

CIF file:
```
data_ScTl2Cr
_cell_length_a 4.450
_cell_length_b 4.450
_cell_length_c 4.197
_cell_angle_alpha 90.00
_cell_angle_beta 90.00
_cell_angle_gamma 90.00
_space_group_name_H-M_alt 'P 4/m m m'
_space_group_IT_number 123
_space_group_name_Hall '-P 4 2'
loop_
_atom_site_label
_atom_site_type_symbol
_atom_site_fract_x
_atom_site_fract_y
_atom_site_fract_z
Sc1 Sc 0.000 0.000 0.000
Tl1 Tl 0.000 0.500 0.500
Cr1 Cr 0.500 0.500 0.000
```

---

No. 2
Computed, not measured: ScTl2Cr at its PBEsol-relaxed geometry at the SCAN level of DFT.

Computed properties:
energy: -44.320 eV/atom
DOS at the Fermi energy: 0.780 states/eV per atom
ΔE_f: 15 meV per atom

CIF file:
```
data_ScTl2Cr
_cell_length_a 3.593
_cell_length_b 4.646
_cell_length_c 10.022
_cell_angle_alpha 90.00
_cell_angle_beta 90.00
_cell_angle_gamma 90.00
_space_group_name_H-M_alt 'I m m 2'
_space_group_IT_number 44
_space_group_name_Hall 'I 2 -2'
loop_
_atom_site_label
_atom_site_type_symbol
_atom_site_fract_x
_atom_site_fract_y
_atom_site_fract_z
Sc1 Sc 0.000 0.000 0.000
Tl1 Tl 0.000 0.000 0.522
Tl2 Tl 0.000 0.500 0.762
Cr1 Cr 0.000 0.500 0.268
```

---

No. 3
Computed, not measured: ScTl2Cr at its PBEsol-relaxed geometry at the SCAN level of DFT.

Computed properties:
energy: -44.336 eV/atom
DOS at the Fermi energy: 0.926 states/eV per atom
ΔE_f: -2 meV per atom

CIF file:
```
data_ScTl2Cr
_cell_length_a 4.207
_cell_length_b 4.207
_cell_length_c 9.489
_cell_angle_alpha 90.00
_cell_angle_beta 90.00
_cell_angle_gamma 90.00
_space_group_name_H-M_alt 'I -4 m 2'
_space_group_IT_number 119
_space_group_name_Hall 'I -4 -2'
loop_
_atom_site_label
_atom_site_type_symbol
_atom_site_fract_x
_atom_site_fract_y
_atom_site_fract_z
Sc1 Sc 0.000 0.000 0.000
Tl1 Tl 0.000 0.000 0.500
Tl2 Tl 0.000 0.500 0.250
Cr1 Cr 0.000 0.500 0.750
```

---

No. 4
Computed, not measured: ScTl2Cr at its PBEsol-relaxed geometry at the SCAN level of DFT.

Computed properties:
energy: -44.273 eV/atom
DOS at the Fermi energy: 0.668 states/eV per atom
ΔE_f: 61 meV per atom

CIF file:
```
data_ScTl2Cr
_cell_length_a 3.631
_cell_length_b 3.631
_cell_length_c 6.505
_cell_angle_alpha 90.00
_cell_angle_beta 90.00
_cell_angle_gamma 90.00
_space_group_name_H-M_alt 'P 4 m m'
_space_group_IT_number 99
_space_group_name_Hall 'P 4 -2'
loop_
_atom_site_label
_atom_site_type_symbol
_atom_site_fract_x
_atom_site_fract_y
_atom_site_fract_z
Sc1 Sc 0.000 0.000 0.000
Tl1 Tl 0.000 0.000 0.546
Tl2 Tl 0.500 0.500 0.255
Cr1 Cr 0.500 0.500 0.786
```

---

No. 5
Computed, not measured: YSc2TlCr at its PBEsol-relaxed geometry at the SCAN level of DFT.

Computed properties:
energy: -29.221 eV/atom
DOS at the Fermi energy: 0.909 states/eV per atom
ΔE_f: 191 meV per atom

CIF file:
```
data_YSc2TlCr
_cell_length_a 4.690
_cell_length_b 4.690
_cell_length_c 5.232
_cell_angle_alpha 90.00
_cell_angle_beta 90.00
_cell_angle_gamma 90.00
_space_group_name_H-M_alt 'P 4/m m m'
_space_group_IT_number 123
_space_group_name_Hall '-P 4 2'
loop_
_atom_site_label
_atom_site_type_symbol
_atom_site_fract_x
_atom_site_fract_y
_atom_site_fract_z
Y1 Y 0.000 0.000 0.000
Sc1 Sc 0.000 0.500 0.500
Tl1 Tl 0.500 0.500 0.000
Cr1 Cr 0.500 0.500 0.500
```

---

No. 6
Computed, not measured: Sc2CrW at its PBEsol-relaxed geometry at the SCAN level of DFT.

Computed properties:
distance to the lowest polymorph of the same formula: 1.22 eV per formula unit
energy: -28.625 eV/atom
DOS at the Fermi energy: 1.379 states/eV per atom
ΔE_f: 511 meV per atom

CIF file:
```
data_Sc2CrW
_cell_length_a 2.723
_cell_length_b 2.723
_cell_length_c 9.047
_cell_angle_alpha 90.00
_cell_angle_beta 90.00
_cell_angle_gamma 90.00
_space_group_name_H-M_alt 'P 4/m m m'
_space_group_IT_number 123
_space_group_name_Hall '-P 4 2'
loop_
_atom_site_label
_atom_site_type_symbol
_atom_site_fract_x
_atom_site_fract_y
_atom_site_fract_z
Sc1 Sc 0.000 0.000 0.237
Cr1 Cr 0.500 0.500 0.000
W1 W 0.500 0.500 0.500
```

---

No. 7
Computed, not measured: Sc2CrW at its PBEsol-relaxed geometry at the SCAN level of DFT.

Computed properties:
distance to the lowest polymorph of the same formula: 2.00 eV per formula unit
energy: -28.430 eV/atom
DOS at the Fermi energy: 0.835 states/eV per atom
ΔE_f: 707 meV per atom

CIF file:
```
data_Sc2CrW
_cell_length_a 2.8903
_cell_length_b 2.8903
_cell_length_c 29.1571
_cell_angle_alpha 90.00
_cell_angle_beta 90.00
_cell_angle_gamma 120.00
_space_group_name_H-M_alt 'R -3 m'
_space_group_IT_number 166
_space_group_name_Hall '-R 3 2"'
loop_
_atom_site_label
_atom_site_type_symbol
_atom_site_fract_x
_atom_site_fract_y
_atom_site_fract_z
Sc1 Sc 0.0000 0.0000 0.0928
Cr1 Cr 0.0000 0.0000 0.5000
W1 W 0.0000 0.0000 0.0000
```

---

No. 8
Computed, not measured: Sc3CrW at its PBEsol-relaxed geometry at the SCAN level of DFT.

Computed properties:
energy: -24.980 eV/atom
DOS at the Fermi energy: 1.037 states/eV per atom
ΔE_f: 1177 meV per atom

CIF file:
```
data_Sc3CrW
_cell_length_a 4.592
_cell_length_b 4.592
_cell_length_c 4.592
_cell_angle_alpha 90.00
_cell_angle_beta 90.00
_cell_angle_gamma 90.00
_space_group_name_H-M_alt 'P m -3 m'
_space_group_IT_number 221
_space_group_name_Hall '-P 4 2 3'
loop_
_atom_site_label
_atom_site_type_symbol
_atom_site_fract_x
_atom_site_fract_y
_atom_site_fract_z
Sc1 Sc 0.000 0.000 0.500
Cr1 Cr 0.000 0.000 0.000
W1 W 0.500 0.500 0.500
```

---

No. 9
Computed, not measured: Sc2CrW at its PBEsol-relaxed geometry at the SCAN level of DFT.

Computed properties:
distance to the lowest polymorph of the same formula: 0.00 eV per formula unit
energy: -28.930 eV/atom
DOS at the Fermi energy: 0.958 states/eV per atom
ΔE_f: 207 meV per atom

CIF file:
```
data_Sc2CrW
_cell_length_a 3.215
_cell_length_b 4.690
_cell_length_c 9.311
_cell_angle_alpha 90.00
_cell_angle_beta 90.00
_cell_angle_gamma 90.00
_space_group_name_H-M_alt 'I m m 2'
_space_group_IT_number 44
_space_group_name_Hall 'I 2 -2'
loop_
_atom_site_label
_atom_site_type_symbol
_atom_site_fract_x
_atom_site_fract_y
_atom_site_fract_z
Sc1 Sc 0.000 0.000 0.000
Sc2 Sc 0.000 0.500 0.221
Cr1 Cr 0.000 0.500 0.759
W1 W 0.000 0.000 0.442
```

---

No. 10
Computed, not measured: ScCr2W at its PBEsol-relaxed geometry at the SCAN level of DFT.

Computed properties:
energy: -30.011 eV/atom
DOS at the Fermi energy: 0.811 states/eV per atom
ΔE_f: 163 meV per atom

CIF file:
```
data_ScCr2W
_cell_length_a 6.135
_cell_length_b 6.135
_cell_length_c 6.135
_cell_angle_alpha 90.00
_cell_angle_beta 90.00
_cell_angle_gamma 90.00
_space_group_name_H-M_alt 'F m -3 m'
_space_group_IT_number 225
_space_group_name_Hall '-F 4 2 3'
loop_
_atom_site_label
_atom_site_type_symbol
_atom_site_fract_x
_atom_site_fract_y
_atom_site_fract_z
Sc1 Sc 0.000 0.000 0.000
Cr1 Cr 0.250 0.250 0.250
W1 W 0.000 0.000 0.500
```

---

No. 11
Computed, not measured: Sc2CrW at its PBEsol-relaxed geometry at the SCAN level of DFT.

Computed properties:
distance to the lowest polymorph of the same formula: 0.88 eV per formula unit
energy: -28.710 eV/atom
DOS at the Fermi energy: 0.994 states/eV per atom
ΔE_f: 427 meV per atom

CIF file:
```
data_Sc2CrW
_cell_length_a 2.780
_cell_length_b 4.577
_cell_length_c 5.412
_cell_angle_alpha 90.00
_cell_angle_beta 105.00
_cell_angle_gamma 90.00
_space_group_name_H-M_alt 'P 1 2/m 1'
_space_group_IT_number 10
_space_group_name_Hall '-P 2y'
loop_
_atom_site_label
_atom_site_type_symbol
_atom_site_fract_x
_atom_site_fract_y
_atom_site_fract_z
Sc1 Sc 0.075 0.000 0.254
Cr1 Cr 0.500 0.500 0.500
W1 W 0.500 0.500 0.000
```

---

No. 12
Computed, not measured: Sc2CrW at its PBEsol-relaxed geometry at the SCAN level of DFT.

Computed properties:
distance to the lowest polymorph of the same formula: 0.90 eV per formula unit
energy: -28.705 eV/atom
DOS at the Fermi energy: 0.931 states/eV per atom
ΔE_f: 431 meV per atom

CIF file:
```
data_Sc2CrW
_cell_length_a 3.258
_cell_length_b 4.444
_cell_length_c 4.594
_cell_angle_alpha 90.00
_cell_angle_beta 90.00
_cell_angle_gamma 90.00
_space_group_name_H-M_alt 'P m m m'
_space_group_IT_number 47
_space_group_name_Hall '-P 2 2'
loop_
_atom_site_label
_atom_site_type_symbol
_atom_site_fract_x
_atom_site_fract_y
_atom_site_fract_z
Sc1 Sc 0.000 0.000 0.000
Sc2 Sc 0.500 0.500 0.000
Cr1 Cr 0.000 0.500 0.500
W1 W 0.500 0.000 0.500
```

---

- Among the records above, which one has the lowest DOS at the Fermi energy?
  number 1

---

- Look up the energy of the eighth one.
  -24.980 eV/atom

---

Repeat the eleventh record exactly.
Computed, not measured: Sc2CrW at its PBEsol-relaxed geometry at the SCAN level of DFT.

Computed properties:
distance to the lowest polymorph of the same formula: 0.88 eV per formula unit
energy: -28.710 eV/atom
DOS at the Fermi energy: 0.994 states/eV per atom
ΔE_f: 427 meV per atom

CIF file:
```
data_Sc2CrW
_cell_length_a 2.780
_cell_length_b 4.577
_cell_length_c 5.412
_cell_angle_alpha 90.00
_cell_angle_beta 105.00
_cell_angle_gamma 90.00
_space_group_name_H-M_alt 'P 1 2/m 1'
_space_group_IT_number 10
_space_group_name_Hall '-P 2y'
loop_
_atom_site_label
_atom_site_type_symbol
_atom_site_fract_x
_atom_site_fract_y
_atom_site_fract_z
Sc1 Sc 0.075 0.000 0.254
Cr1 Cr 0.500 0.500 0.500
W1 W 0.500 0.500 0.000
```

---

- Which value of ΔE_f does entry 2 give?
  15 meV per atom